Record 1
Computed, not measured: a relaxed structure of LaSbAs2 at the PBE level of DFT.

a = 4.285 Å, b = 4.285 Å, c = 6.221 Å
α = 90.00°, β = 90.00°, γ = 90.00°
Fractional positions:
As  0.500  0.500  0.380
As  0.000  0.000  0.893
Sb  0.500  0.500  0.815
La  0.000  0.000  0.412

Summary:
SG: No. 99
energy relative to the elements, uncorrected: -698 meV/atom
M_tot: 0.0 μB per formula unit

---

Record 2
Computed, not measured: a relaxed structure of Cs4PtI at the PBE level of DFT.

a = 8.663 Å, b = 10.358 Å, c = 9.999 Å
α = 113.78°, β = 90.00°, γ = 90.00°
Fractional positions:
Cs  0.280  0.375  0.678
Cs  0.672  0.188  0.882
Cs  0.172  0.812  0.618
Cs  0.780  0.625  0.822
Cs  0.328  0.812  0.118
Cs  0.220  0.375  0.178
Cs  0.720  0.625  0.322
Cs  0.828  0.188  0.382
Pt  0.000  0.500  0.500
Pt  0.500  0.500  0.000
I  0.500  0.000  0.500
I  0.000  0.000  0.000

Summary:
SG: No. 14
energy relative to the elements, uncorrected: -483 meV/atom
M_tot: 0.5 μB per formula unit

---

Record 3
Computed, not measured: a relaxed structure of HoScI6 at the PBE level of DFT.

a = 7.274 Å, b = 7.276 Å, c = 8.184 Å
α = 63.61°, β = 81.85°, γ = 71.41°
Fractional positions:
I  0.759  0.098  0.283
I  0.241  0.902  0.717
I  0.244  0.246  0.000
I  0.756  0.754  0.000
I  0.759  0.381  0.717
I  0.241  0.619  0.283
Sc  0.000  0.000  0.000
Ho  0.500  0.500  0.000

Summary:
SG: No. 12
energy relative to the elements, uncorrected: -1254 meV/atom
M_tot: 0.0 μB per formula unit

---

What did the third record say?
Computed, not measured: a relaxed structure of HoScI6 at the PBE level of DFT.

a = 7.274 Å, b = 7.276 Å, c = 8.184 Å
α = 63.61°, β = 81.85°, γ = 71.41°
Fractional positions:
I  0.759  0.098  0.283
I  0.241  0.902  0.717
I  0.244  0.246  0.000
I  0.756  0.754  0.000
I  0.759  0.381  0.717
I  0.241  0.619  0.283
Sc  0.000  0.000  0.000
Ho  0.500  0.500  0.000

Summary:
SG: No. 12
energy relative to the elements, uncorrected: -1254 meV/atom
M_tot: 0.0 μB per formula unit

---

Question: Look up the energy relative to the elements, uncorrected of the second one.
Answer: -483 meV/atom

---

Question: What is the formula in the third record?
Answer: HoScI6